Entry from Alexandria: MgTcP2 after structural relaxation (GGA-PBE).

Unit cell a=7.3320 b=7.3320 c=7.3320 alpha=25.40 beta=25.40 gamma=25.40
Fractional positions:
Mg1 0.0000 0.0000 0.0000
Tc1 0.5000 0.5000 0.5000
P1 0.2415 0.2415 0.2415
P2 0.7585 0.7585 0.7585

Summary:
Formation energy from the elements = -0.28 eV/atom
Symmetry = R-3m (166)

***

Entry from Alexandria: PmCu2BO4 after structural relaxation (GGA-PBE).

Unit cell a=4.8105 b=4.8105 c=4.8105 alpha=113.82 beta=113.33 gamma=101.54
Fractional positions:
Pm1 0.0000 0.0000 0.0000
Cu1 0.2834 0.7834 0.5000
Cu2 0.7166 0.2166 0.5000
B1 0.5000 0.5000 0.0000
O1 0.1935 0.1928 0.6709
O2 0.4782 0.8072 0.0007
O3 0.5218 0.5225 0.3291
O4 0.8065 0.4775 0.9993

Summary:
Energy relative to the elements, uncorrected = -1.84 eV per atom
Symmetry = I222 (23)

***

Entry from Alexandria: TaCdSi2Bi after structural relaxation (GGA-PBE).

Unit cell a=4.9115 b=4.9115 c=5.4320 alpha=90.00 beta=90.00 gamma=90.00
Fractional positions:
Ta1 0.0000 0.0000 0.0000
Cd1 0.0000 0.0000 0.5000
Si1 0.0000 0.5000 0.0000
Si2 0.5000 0.0000 0.0000
Bi1 0.5000 0.5000 0.5000

Summary:
Energy relative to the elements, uncorrected = 0.78 eV per atom
Symmetry = P4/mmm (123)

***

Sequential total magnetization output: 0.000; 0.000; 0.000 μB per cell